Record 1
Here is a geometry-optimized Tm4CdCuRu2 structure from the Alexandria database. Energies are from PBE.

Its space-group type is R-3m (166). The calculation puts the electronic total energy at -44.377 eV per cell. The energy of formation from the pure elements comes out at -366 meV/atom.

Cell: 4.880 4.880 8.453 Å, 73.22 73.22 60.00°
Fractional coordinates of all 8 atoms:
Tm 0.380 0.380 0.861
Tm 0.871 0.871 0.386
Tm 0.129 0.129 0.614
Tm 0.620 0.620 0.139
Cd 0.000 0.000 0.000
Cu 0.500 0.500 0.500
Ru 0.749 0.749 0.752
Ru 0.251 0.251 0.248

Record 2
Here is a geometry-optimized SrMnSN2 structure from the Alexandria database. Energies are from PBE.

As for the relative energy among the computed polymorphs: 1.731 eV/atom. Its space-group type is P4/mmm (123). The formation energy from raw total energies comes out at 1.567 eV/atom. The calculation puts the electronic total energy at -23.794 eV per cell.

Cell: 4.685 4.685 5.877 Å, 90.00 90.00 90.00°
Each line ends with the local moment (μB).
Fractional coordinates of all 5 atoms:
Sr 0.000 0.000 0.000  0.07
S 0.000 0.000 0.500  0.11
Mn 0.500 0.500 0.500  4.52
N 0.000 0.500 0.000  1.33
N 0.500 0.000 0.000  1.33

Record 3
Here is a geometry-optimized Ca2ReP structure from the Alexandria database. Energies are from PBE.

Its space-group type is R3m (160). The calculation puts the electronic total energy at -22.954 eV per cell. The energy of formation from the pure elements comes out at -273 meV/atom.

Cell: 8.078 8.078 8.078 Å, 28.74 28.74 28.74°
Fractional coordinates of all 4 atoms:
Ca 0.034 0.034 0.034
Ca 0.216 0.216 0.216
P 0.458 0.458 0.458
Re 0.792 0.792 0.792